Record 1
MnFe2Rh: optimized geometry, PBE.

Unit cell a=2.9297 b=4.1337 c=8.5382 alpha=90.00 beta=90.00 gamma=90.00
Sites, in units of the cell vectors:
Mn (0.0000, 0.0000, 0.0000)
Mn (0.5000, 0.5000, 0.5000)
Fe (0.0000, 0.5000, 0.2495)
Fe (0.0000, 0.5000, 0.7505)
Fe (0.5000, 0.0000, 0.2505)
Fe (0.5000, 0.0000, 0.7495)
Rh (0.0000, 0.0000, 0.5000)
Rh (0.5000, 0.5000, 0.0000)

volume = 103.4 Å³ per cell
energy of formation from the pure elements = 26.5 meV/atom
total moment = 2.27 μB/atom

***

Record 2
Cs2Ti2C: optimized geometry, PBE.

Unit cell a=6.2348 b=6.2348 c=6.6860 alpha=90.00 beta=90.00 gamma=90.00
Sites, in units of the cell vectors:
Cs (0.2279, 0.2721, 0.0000)
Cs (0.2721, 0.7721, 0.0000)
Cs (0.7279, 0.2279, 0.0000)
Cs (0.7721, 0.7279, 0.0000)
Ti (0.2040, 0.2960, 0.5000)
Ti (0.2960, 0.7960, 0.5000)
Ti (0.7040, 0.2040, 0.5000)
Ti (0.7960, 0.7040, 0.5000)
C (0.0000, 0.0000, 0.5000)
C (0.5000, 0.5000, 0.5000)

volume = 259.9 Å³ per cell
energy above the most stable polymorph in this dataset = 0.000 eV/atom
energy of formation from the pure elements = 974.8 meV/atom
total moment = 0.39 μB/atom

***

Record 3
MgZn7Cu5: optimized geometry, PBE.

Unit cell a=6.5980 b=6.5980 c=6.5980 alpha=135.76 beta=98.23 gamma=98.08
Sites, in units of the cell vectors:
Mg (0.0000, 0.0000, 0.0000)
Zn (0.1967, 0.4915, 0.7051)
Zn (0.3274, 0.9839, 0.3436)
Zn (0.3331, 0.3331, 0.0000)
Zn (0.6403, 0.9839, 0.6564)
Zn (0.6484, 0.6484, 0.0000)
Zn (0.7685, 0.2685, 0.5000)
Zn (0.7864, 0.4915, 0.2949)
Cu (0.2126, 0.7126, 0.5000)
Cu (0.4878, 0.4867, 0.4983)
Cu (0.4878, 0.9895, 0.0011)
Cu (0.9884, 0.4867, 0.9989)
Cu (0.9884, 0.9895, 0.5017)

volume = 185.6 Å³ per cell
energy of formation from the pure elements = -99.9 meV/atom
total moment = 0.00 μB/atom

***

Record 4
KTa2Ru: optimized geometry, PBE.

Unit cell a=5.3563 b=5.3563 c=16.9893 alpha=90.00 beta=90.00 gamma=90.00
Sites, in units of the cell vectors:
K (0.0000, 0.2500, 0.3750)
K (0.0000, 0.7500, 0.6250)
K (0.5000, 0.2500, 0.1250)
K (0.5000, 0.7500, 0.8750)
Ta (0.0000, 0.0000, 0.0000)
Ta (0.0000, 0.5000, 0.0000)
Ta (0.2500, 0.2500, 0.7500)
Ta (0.2500, 0.7500, 0.2500)
Ta (0.5000, 0.0000, 0.5000)
Ta (0.5000, 0.5000, 0.5000)
Ta (0.7500, 0.2500, 0.7500)
Ta (0.7500, 0.7500, 0.2500)
Ru (0.0000, 0.2500, 0.8750)
Ru (0.0000, 0.7500, 0.1250)
Ru (0.5000, 0.2500, 0.6250)
Ru (0.5000, 0.7500, 0.3750)

volume = 487.4 Å³ per cell
energy above the most stable polymorph in this dataset = 1.073 eV/atom
energy of formation from the pure elements = 1560.8 meV/atom
total moment = 0.00 μB/atom

***

The lowest volume belongs to which entry?
MnFe2Rh